Compound: Ti6Ga3Pt
Source: the Alexandria database
Functional: PBE-GGA
Structure: optimized geometry

a b c (Å): 5.7411 7.9141 7.9141
angles (deg): 105.94 90.00 90.00
Last column: nearest neighbours and their distance in Å.
Sites, in units of the cell vectors:
Ti: 0.7760 0.4756 0.0620  3 Ga 2.56-2.77, 1 Pt 2.70, 2 Ti 2.77-2.86
Ti: 0.8157 0.0536 0.9464  1 Pt 2.46, 4 Ga 2.63
Ti: 0.5881 0.6774 0.7568  4 Ga 2.60-2.76, 1 Ti 2.77
Ti: 0.2760 0.5244 0.9380  3 Ga 2.56-2.77, 1 Pt 2.70, 2 Ti 2.77-2.86
Ti: 0.5881 0.2432 0.3226  4 Ga 2.60-2.76, 1 Ti 2.77
Ti: 0.7760 0.9380 0.5244  3 Ga 2.56-2.77, 1 Pt 2.70, 2 Ti 2.77-2.86
Ti: 0.0881 0.7568 0.6774  4 Ga 2.60-2.76, 1 Ti 2.77
Ti: 0.2760 0.0620 0.4756  3 Ga 2.56-2.77, 1 Pt 2.70, 2 Ti 2.77-2.86
Ti: 0.6781 0.2962 0.7038  1 Pt 2.66, 3 Ga 2.79-2.91, 4 Ti 2.86-2.98
Ti: 0.0881 0.3226 0.2432  4 Ga 2.60-2.76, 1 Ti 2.77
Ti: 0.3157 0.9464 0.0536  1 Pt 2.46, 4 Ga 2.63
Ti: 0.1781 0.7038 0.2962  1 Pt 2.66, 3 Ga 2.79-2.91, 4 Ti 2.86-2.98
Pt: 0.5932 0.7979 0.2021  4 Ti 2.46-2.70, 2 Ga 2.60
Pt: 0.0932 0.2021 0.7979  4 Ti 2.46-2.70, 2 Ga 2.60
Ga: 0.4426 0.2535 0.0150  6 Ti 2.56-2.68, 1 Ga 2.56, 1 Pt 2.60
Ga: 0.7850 0.5745 0.4255  7 Ti 2.74-2.79, 1 Pt 3.03
Ga: 0.4426 0.9850 0.7465  6 Ti 2.56-2.68, 1 Ga 2.56, 1 Pt 2.60
Ga: 0.9426 0.7465 0.9850  6 Ti 2.56-2.68, 1 Ga 2.56, 1 Pt 2.60
Ga: 0.2850 0.4255 0.5745  7 Ti 2.74-2.79, 1 Pt 3.03
Ga: 0.9426 0.0150 0.2535  6 Ti 2.56-2.68, 1 Ga 2.56, 1 Pt 2.60

DOS(E_F) ... 6.9 states/eV/f.u.
Energy relative to the elements ... -0.3235 eV/atom
Space group ... Cmc2_1, No. 36
Total DFT energy (no corrections) ... -6.573 eV per atom